A plane-wave DFT calculation with GGA-PBE was carried out for RbZnTe2I after structural relaxation.

Values from the calculation:
The value obtained for the formation energy (no corrections) is 0.575 eV per atom. As for the uncorrected energy: -1.44 eV per atom. The value obtained for the energy above the most stable polymorph in this dataset is 930.6 meV/atom.

abc: 7.196 7.196 6.865
angles: 90.00 90.00 90.00
Last column: magnetic moment on the atom in μB.
Positions (direct):
1 I 0.000 0.000 0.500  0.21
2 Te 0.500 0.000 0.000  0.89
3 Te 0.000 0.500 0.000  0.89
4 Zn 0.500 0.500 0.500  0.07
5 Rb 0.000 0.000 0.000  0.01